Below is a geometry-optimized Pm12Co5Ge structure, with properties calculated at the PBE level.

Output
- energy of formation from the pure elements (eV per atom) = -0.16
- magnetization (μB/atom) = 0.000
- electronic total energy (eV per atom) = -5.56
- theoretical density (g/cm³) = 7.5

Unit cell a=8.459 b=8.459 c=8.459 alpha=110.76 beta=109.86 gamma=107.81
Fractional coordinates of all 18 atoms:
Pm: 0.016 0.206 0.810
Pm: 0.186 0.297 0.483
Pm: 0.186 0.703 0.889
Pm: 0.318 0.014 0.696
Pm: 0.318 0.622 0.304
Pm: 0.395 0.206 0.190
Pm: 0.605 0.794 0.810
Pm: 0.682 0.378 0.696
Pm: 0.682 0.986 0.304
Pm: 0.814 0.297 0.111
Pm: 0.814 0.703 0.517
Pm: 0.984 0.794 0.190
Co: 0.000 0.000 0.000
Co: 0.113 0.613 0.500
Co: 0.377 0.000 0.377
Co: 0.623 0.000 0.623
Co: 0.887 0.387 0.500
Ge: 0.500 0.500 0.000